Na2ScInF6 PBE relaxed; V = 163.7 Å³/f.u.; formation energy from raw total energies = -3.02 eV per atom
1.0
2.9641 1.7113 5.3800
-2.9641 1.7113 5.3800
0.0000 -3.4227 5.3800
Na Sc In F
2 1 1 6
Direct
0.0000 0.0000 0.0000
0.4812 0.4812 0.4812
0.6859 0.6859 0.6859
0.2141 0.2141 0.2141
0.0483 0.4507 0.7410
0.3167 0.8452 0.6469
0.4507 0.7410 0.0483
0.6469 0.3167 0.8452
0.7410 0.0483 0.4507
0.8452 0.6469 0.3167